Record 1
# Dy2HgOsO8 (GGA-PBE, optimized geometry)
data_Dy2HgOsO8
_chemical_formula_sum 'Dy4 Hg2 Os2 O16'
_cell_length_a 6.7249
_cell_length_b 7.0638
_cell_length_c 7.2670
_cell_angle_alpha 90.00
_cell_angle_beta 90.04
_cell_angle_gamma 90.00
_space_group_name_H-M_alt 'C 1 2/m 1'
_space_group_IT_number 12
loop_
_space_group_symop_operation_xyz
'x,y,z'
'-x,-y,-z'
'-x,y,-z'
'x,-y,z'
'x+1/2,y+1/2,z'
'-x+1/2,-y+1/2,-z'
'-x+1/2,y+1/2,-z'
'x+1/2,-y+1/2,z'
loop_
_atom_site_label
_atom_site_type_symbol
_atom_site_fract_x
_atom_site_fract_y
_atom_site_fract_z
Dy1 Dy 0.0001 0.0000 0.2460
Hg1 Hg 0.0000 0.5000 0.0000
Os1 Os 0.0000 0.5000 0.5000
O1 O 0.0007 0.3144 0.6832
O2 O 0.1959 0.0000 0.0000
O3 O 0.2187 0.0000 0.5002
# crystal system	monoclinic
# VASP energy	-6.926	eV/atom
# formation energy (no corrections)	-1.8922	eV/atom

***

Record 2
# InPt2Br (GGA-PBE, optimized geometry)
data_InPt2Br
_chemical_formula_sum 'In2 Pt4 Br2'
_cell_length_a 4.8274
_cell_length_b 4.8353
_cell_length_c 6.7729
_cell_angle_alpha 90.00
_cell_angle_beta 90.00
_cell_angle_gamma 90.00
_space_group_name_H-M_alt 'C m m m'
_space_group_IT_number 65
_space_group_name_Hall '-C 2 2'
loop_
_atom_site_label
_atom_site_type_symbol
_atom_site_fract_x
_atom_site_fract_y
_atom_site_fract_z
In1 In 0.0000 0.0000 0.0000
Pt1 Pt 0.0000 0.5000 0.2059
Br1 Br 0.0000 0.0000 0.5000
# crystal system	orthorhombic
# VASP energy	-4.069	eV/atom
# formation energy (no corrections)	0.0544	eV/atom

***

Record 3
# Sr2TiBrF (GGA-PBE, optimized geometry)
data_Sr2TiBrF
_chemical_formula_sum 'Sr2 Ti1 Br1 F1'
_cell_length_a 6.2278
_cell_length_b 6.2278
_cell_length_c 4.6824
_cell_angle_alpha 90.00
_cell_angle_beta 90.00
_cell_angle_gamma 90.00
_space_group_name_H-M_alt 'P 4/m m m'
_space_group_IT_number 123
_space_group_name_Hall '-P 4 2'
loop_
_atom_site_label
_atom_site_type_symbol
_atom_site_fract_x
_atom_site_fract_y
_atom_site_fract_z
Sr1 Sr 0.0000 0.5000 0.0000
Ti1 Ti 0.0000 0.0000 0.5000
Br1 Br 0.0000 0.0000 0.0000
F1 F 0.5000 0.5000 0.5000
# crystal system	tetragonal
# VASP energy	-3.371	eV/atom
# formation energy (no corrections)	-0.4104	eV/atom